PaSb2Au | PBE-GGA | optimized geometry

Summary:
formation energy from raw total energies	-0.086	eV/atom
raw total energy	-5.34	eV per atom

Unit cell a=3.3257 b=3.3257 c=31.5463 alpha=90.00 beta=90.00 gamma=120.00
Space group R-3m (No. 166, hexagonal axes)
One atom of each set of equivalent atoms:
Pa 0.0000 0.0000 0.0000
Sb 0.0000 0.0000 0.4157
Au 0.0000 0.0000 0.5000